1) A plane-wave DFT calculation with GGA-PBE was carried out for a relaxed structure of Zr2TaBr.

a b c (Å): 3.091 3.091 8.812
angles (deg): 90.00 90.00 90.00
Sites, in units of the cell vectors:
Zr (0.000, 0.000, 0.000)
Zr (0.500, 0.500, 0.276)
Ta (0.500, 0.500, 0.740)
Br (0.000, 0.000, 0.523)

Calculated values
As for the density of states at the Fermi level: 1.2141 states/eV/atom.

---

2) A plane-wave DFT calculation with GGA-PBE was carried out for a relaxed structure of Zr2TaBr.

a b c (Å): 5.234 5.234 5.234
angles (deg): 129.01 129.01 75.00
Sites, in units of the cell vectors:
Zr (0.250, 0.750, 0.500)
Zr (0.750, 0.250, 0.500)
Ta (0.000, 0.000, 0.000)
Br (0.500, 0.500, 0.000)

Calculated values
As for the density of states at the Fermi level: 1.2386 states/eV/atom.

---

Preferred: 1); penalty for the next structure: 0.173 eV/atom.

---

1) A plane-wave DFT calculation with GGA-PBE was carried out for a relaxed structure of ZrTa2Br2.

a b c (Å): 7.189 7.189 7.189
angles (deg): 147.76 147.76 46.24
Sites, in units of the cell vectors:
Zr (0.000, 0.000, 0.000)
Ta (0.250, 0.750, 0.500)
Ta (0.750, 0.250, 0.500)
Br (0.390, 0.390, 0.000)
Br (0.610, 0.610, 0.000)

Calculated values
As for the density of states at the Fermi level: 1.0402 states/eV/atom.

---

2) A plane-wave DFT calculation with GGA-PBE was carried out for a relaxed structure of ZrTa2Br2.

a b c (Å): 7.977 7.977 3.097
angles (deg): 90.00 90.00 90.00
Sites, in units of the cell vectors:
Zr (0.000, 0.000, 0.000)
Zr (0.500, 0.500, 0.000)
Ta (0.125, 0.375, 0.500)
Ta (0.375, 0.875, 0.500)
Ta (0.625, 0.125, 0.500)
Ta (0.875, 0.625, 0.500)
Br (0.179, 0.679, 0.000)
Br (0.321, 0.179, 0.000)
Br (0.679, 0.821, 0.000)
Br (0.821, 0.321, 0.000)

Calculated values
As for the density of states at the Fermi level: 0.5727 states/eV/atom.

---

Preferred: 2); penalty for the next structure: 0.138 eV/atom.

---

1) A plane-wave DFT calculation with GGA-PBE was carried out for a relaxed structure of Zr3TaBr.

a b c (Å): 5.216 5.216 5.216
angles (deg): 90.00 90.00 90.00
Sites, in units of the cell vectors:
Zr (0.000, 0.000, 0.500)
Zr (0.000, 0.500, 0.000)
Zr (0.500, 0.000, 0.000)
Ta (0.000, 0.000, 0.000)
Br (0.500, 0.500, 0.500)

Calculated values
As for the density of states at the Fermi level: 2.1451 states/eV/atom.

---

2) A plane-wave DFT calculation with GGA-PBE was carried out for a relaxed structure of Zr3TaBr.

a b c (Å): 4.918 4.918 4.918
angles (deg): 90.00 90.00 90.00
Sites, in units of the cell vectors:
Zr (0.000, 0.000, 0.500)
Zr (0.000, 0.500, 0.000)
Zr (0.500, 0.000, 0.000)
Ta (0.500, 0.500, 0.500)
Br (0.000, 0.000, 0.000)

Calculated values
As for the density of states at the Fermi level: 1.4402 states/eV/atom.

---

Preferred: 2); penalty for the next structure: 0.298 eV/atom.

---

1) A plane-wave DFT calculation with GGA-PBE was carried out for a relaxed structure of Tb2TeBr.

a b c (Å): 8.694 8.694 8.694
angles (deg): 25.97 25.97 25.97
Sites, in units of the cell vectors:
Tb (0.000, 0.000, 0.000)
Tb (0.170, 0.170, 0.170)
Te (0.585, 0.585, 0.585)
Br (0.418, 0.418, 0.418)

Calculated values
As for the density of states at the Fermi level: 0.9692 states/eV/atom.

---

2) A plane-wave DFT calculation with GGA-PBE was carried out for a relaxed structure of Tb2TeBr.

a b c (Å): 9.648 9.648 9.648
angles (deg): 24.47 24.47 24.47
Sites, in units of the cell vectors:
Tb (0.098, 0.098, 0.098)
Tb (0.902, 0.902, 0.902)
Te (0.500, 0.500, 0.500)
Br (0.000, 0.000, 0.000)

Calculated values
As for the density of states at the Fermi level: 0.6171 states/eV/atom.

---

Preferred: 1); penalty for the next structure: 0.073 eV/atom.

---

1) A plane-wave DFT calculation with GGA-PBE was carried out for a relaxed structure of Tb2ThBr.

a b c (Å): 3.596 3.596 9.469
angles (deg): 90.00 90.00 90.00
Sites, in units of the cell vectors:
Tb (0.000, 0.000, 0.246)
Tb (0.000, 0.000, 0.754)
Th (0.500, 0.500, 0.500)
Br (0.500, 0.500, 0.000)

Calculated values
As for the density of states at the Fermi level: 0.8743 states/eV/atom.

---

2) A plane-wave DFT calculation with GGA-PBE was carried out for a relaxed structure of Tb2ThBr.

a b c (Å): 10.330 10.330 10.330
angles (deg): 20.51 20.51 20.51
Sites, in units of the cell vectors:
Tb (0.243, 0.243, 0.243)
Tb (0.757, 0.757, 0.757)
Th (0.000, 0.000, 0.000)
Br (0.500, 0.500, 0.500)

Calculated values
As for the density of states at the Fermi level: 0.7956 states/eV/atom.

---

Preferred: 2); penalty for the next structure: 0.124 eV/atom.

---

1) A plane-wave DFT calculation with GGA-PBE was carried out for a relaxed structure of TbTmBr6.

a b c (Å): 7.561 7.561 7.561
angles (deg): 55.55 55.55 55.55
Sites, in units of the cell vectors:
Tb (0.000, 0.000, 0.000)
Tm (0.500, 0.500, 0.500)
Br (0.098, 0.747, 0.407)
Br (0.253, 0.593, 0.902)
Br (0.407, 0.098, 0.747)
Br (0.593, 0.902, 0.253)
Br (0.747, 0.407, 0.098)
Br (0.902, 0.253, 0.593)

Calculated values
As for the density of states at the Fermi level: 0.0000 states/eV/atom.

---

2) A plane-wave DFT calculation with GGA-PBE was carried out for a relaxed structure of TbTmBr6.

a b c (Å): 7.600 7.600 6.921
angles (deg): 97.77 97.77 125.83
Sites, in units of the cell vectors:
Tb (0.000, 0.000, 0.000)
Tm (0.500, 0.500, 0.500)
Br (0.113, 0.396, 0.254)
Br (0.251, 0.251, 0.747)
Br (0.396, 0.113, 0.254)
Br (0.604, 0.887, 0.746)
Br (0.749, 0.749, 0.253)
Br (0.887, 0.604, 0.746)

Calculated values
As for the density of states at the Fermi level: 0.0000 states/eV/atom.

---

Preferred: 2); penalty for the next structure: 0.020 eV/atom.

---

1) A plane-wave DFT calculation with GGA-PBE was carried out for a relaxed structure of TbTmBr.

a b c (Å): 3.571 3.571 15.040
angles (deg): 90.00 90.00 90.00
Sites, in units of the cell vectors:
Tb (0.250, 0.250, 0.249)
Tb (0.750, 0.750, 0.751)
Tm (0.250, 0.250, 0.582)
Tm (0.750, 0.750, 0.418)
Br (0.250, 0.250, 0.868)
Br (0.750, 0.750, 0.132)

Calculated values
As for the density of states at the Fermi level: 0.8786 states/eV/atom.

---

2) A plane-wave DFT calculation with GGA-PBE was carried out for a relaxed structure of TbTmBr.

a b c (Å): 3.697 3.697 7.246
angles (deg): 90.00 90.00 120.00
Sites, in units of the cell vectors:
Tb (0.000, 0.000, 0.000)
Tm (0.333, 0.667, 0.638)
Br (0.667, 0.333, 0.323)

Calculated values
As for the density of states at the Fermi level: 1.2086 states/eV/atom.

---

Preferred: 2); penalty for the next structure: 0.013 eV/atom.

---

1) A plane-wave DFT calculation with GGA-PBE was carried out for a relaxed structure of Tb2ZnBr.

a b c (Å): 3.492 3.492 8.104
angles (deg): 90.00 90.00 90.00
Sites, in units of the cell vectors:
Tb (0.000, 0.000, 0.220)
Tb (0.000, 0.000, 0.780)
Zn (0.500, 0.500, 0.000)
Br (0.500, 0.500, 0.500)

Calculated values
As for the density of states at the Fermi level: 0.7830 states/eV/atom.

---

2) A plane-wave DFT calculation with GGA-PBE was carried out for a relaxed structure of Tb2ZnBr.

a b c (Å): 8.729 8.729 8.729
angles (deg): 24.71 24.71 24.71
Sites, in units of the cell vectors:
Tb (0.000, 0.000, 0.000)
Tb (0.176, 0.176, 0.176)
Zn (0.588, 0.588, 0.588)
Br (0.420, 0.420, 0.420)

Calculated values
As for the density of states at the Fermi level: 0.7812 states/eV/atom.

---

Preferred: 2); penalty for the next structure: 0.065 eV/atom.

---

1) A plane-wave DFT calculation with GGA-PBE was carried out for a relaxed structure of Tc2Br.

a b c (Å): 2.956 2.956 6.423
angles (deg): 90.00 90.00 120.00
Sites, in units of the cell vectors:
Tc (0.333, 0.667, 0.346)
Tc (0.667, 0.333, 0.654)
Br (0.000, 0.000, 0.000)

Calculated values
As for the density of states at the Fermi level: 0.7268 states/eV/atom.

---

2) A plane-wave DFT calculation with GGA-PBE was carried out for a relaxed structure of Tc2Br.

a b c (Å): 4.667 4.667 10.228
angles (deg): 104.76 104.76 38.32
Sites, in units of the cell vectors:
Tc (0.000, 0.000, 0.000)
Tc (0.252, 0.252, 0.308)
Tc (0.503, 0.503, 0.198)
Tc (0.742, 0.742, 0.089)
Br (0.730, 0.730, 0.832)
Br (0.895, 0.895, 0.502)

Calculated values
As for the density of states at the Fermi level: 0.5029 states/eV/atom.

---

3) A plane-wave DFT calculation with GGA-PBE was carried out for a relaxed structure of Tc2Br.

a b c (Å): 5.934 5.934 5.934
angles (deg): 133.38 132.34 68.88
Sites, in units of the cell vectors:
Tc (0.297, 0.047, 0.250)
Tc (0.455, 0.705, 0.750)
Tc (0.545, 0.295, 0.250)
Tc (0.703, 0.953, 0.750)
Br (0.135, 0.385, 0.750)
Br (0.865, 0.615, 0.250)

Calculated values
As for the density of states at the Fermi level: 0.9803 states/eV/atom.

---

Preferred: 2); penalty for the next structure: 0.250 eV/atom.

---

1) A plane-wave DFT calculation with GGA-PBE was carried out for a relaxed structure of Tc2Br.

a b c (Å): 6.414 6.414 4.056
angles (deg): 90.00 90.00 120.00
Sites, in units of the cell vectors:
Tc (0.000, 0.270, 0.000)
Tc (0.000, 0.624, 0.500)
Tc (0.270, 0.000, 0.000)
Tc (0.376, 0.376, 0.500)
Tc (0.624, 0.000, 0.500)
Tc (0.730, 0.730, 0.000)
Br (0.000, 0.000, 0.500)
Br (0.333, 0.667, 0.000)
Br (0.667, 0.333, 0.000)

Calculated values
As for the density of states at the Fermi level: 0.9412 states/eV/atom.

---

2) A plane-wave DFT calculation with GGA-PBE was carried out for a relaxed structure of Tc2Br.

a b c (Å): 4.491 4.491 5.450
angles (deg): 90.00 90.00 120.00
Sites, in units of the cell vectors:
Tc (0.000, 0.000, 0.000)
Tc (0.000, 0.000, 0.500)
Tc (0.333, 0.667, 0.250)
Tc (0.667, 0.333, 0.750)
Br (0.333, 0.667, 0.750)
Br (0.667, 0.333, 0.250)

Calculated values
As for the density of states at the Fermi level: 1.3253 states/eV/atom.

---

3) A plane-wave DFT calculation with GGA-PBE was carried out for a relaxed structure of Tc2Br.

a b c (Å): 9.383 9.383 2.987
angles (deg): 90.00 90.00 152.74
Sites, in units of the cell vectors:
Tc (0.150, 0.850, 0.750)
Tc (0.266, 0.734, 0.250)
Tc (0.734, 0.266, 0.750)
Tc (0.850, 0.150, 0.250)
Br (0.400, 0.600, 0.750)
Br (0.600, 0.400, 0.250)

Calculated values
As for the density of states at the Fermi level: 0.8771 states/eV/atom.

---

Preferred: 3); penalty for the next structure: 0.664 eV/atom.

---

1) A plane-wave DFT calculation with GGA-PBE was carried out for a relaxed structure of Tc2Br.

a b c (Å): 5.313 5.313 5.313
angles (deg): 60.00 60.00 60.00
Sites, in units of the cell vectors:
Tc (0.000, 0.000, 0.000)
Tc (0.000, 0.000, 0.500)
Tc (0.000, 0.500, 0.000)
Tc (0.500, 0.000, 0.000)
Br (0.375, 0.375, 0.375)
Br (0.625, 0.625, 0.625)

Calculated values
As for the density of states at the Fermi level: 1.2616 states/eV/atom.

---

2) A plane-wave DFT calculation with GGA-PBE was carried out for a relaxed structure of Tc2Br.

a b c (Å): 6.059 6.059 6.059
angles (deg): 90.00 90.00 90.00
Sites, in units of the cell vectors:
Tc (0.107, 0.107, 0.107)
Tc (0.107, 0.393, 0.607)
Tc (0.393, 0.607, 0.107)
Tc (0.393, 0.893, 0.607)
Tc (0.607, 0.107, 0.393)
Tc (0.607, 0.393, 0.893)
Tc (0.893, 0.607, 0.393)
Tc (0.893, 0.893, 0.893)
Br (0.000, 0.000, 0.500)
Br (0.000, 0.500, 0.000)
Br (0.500, 0.000, 0.000)
Br (0.500, 0.500, 0.500)

Calculated values
As for the density of states at the Fermi level: 1.4427 states/eV/atom.

---

Preferred: 1); penalty for the next structure: 0.141 eV/atom.